Entry 1:
BeAlSn3: optimized geometry, GGA-PBE.

Lattice parameters (Å, degrees): 4.9465 4.9465 4.9465 90.00 90.00 90.00
Positions (direct):
1 Be 0.0000 0.0000 0.0000
2 Al 0.5000 0.5000 0.5000
3 Sn 0.0000 0.0000 0.5000
4 Sn 0.0000 0.5000 0.0000
5 Sn 0.5000 0.0000 0.0000

Values from the calculation:
As for the formation energy: 0.455 eV per atom. The space group is Pm-3m (221). The final energy is -3.4405 eV per atom. Its energy above the most stable polymorph in this dataset is 0 meV/atom. The calculation puts the theoretical density at 5.4 g cm⁻³.

=====

Entry 2:
BeAl2Sn2: optimized geometry, GGA-PBE.

Lattice parameters (Å, degrees): 6.3958 6.3958 5.0290 90.00 90.00 90.00
Positions (direct):
1 Be 0.0000 0.0000 0.0000
2 Be 0.5000 0.5000 0.0000
3 Al 0.1488 0.3512 0.0000
4 Al 0.3512 0.8512 0.0000
5 Al 0.6488 0.1488 0.0000
6 Al 0.8512 0.6488 0.0000
7 Sn 0.1783 0.6783 0.5000
8 Sn 0.3217 0.1783 0.5000
9 Sn 0.6783 0.8217 0.5000
10 Sn 0.8217 0.3217 0.5000

Values from the calculation:
As for the formation energy: 0.326 eV per atom. The space group is P4/mbm (127). The final energy is -3.5172 eV per atom. Its energy above the most stable polymorph in this dataset is 0 meV/atom. The calculation puts the theoretical density at 4.8 g cm⁻³.

=====

Entry 3:
BeAlSn: optimized geometry, GGA-PBE.

Lattice parameters (Å, degrees): 4.6456 3.7505 6.1416 90.00 95.53 90.00
Positions (direct):
1 Be 0.1202 0.2500 0.0229
2 Be 0.8798 0.7500 0.9771
3 Al 0.3625 0.7500 0.8492
4 Al 0.6375 0.2500 0.1508
5 Sn 0.2064 0.7500 0.3641
6 Sn 0.7936 0.2500 0.6359

Values from the calculation:
As for the formation energy: 0.181 eV per atom. The space group is P2_1/m (11). The final energy is -3.6429 eV per atom. Its energy above the most stable polymorph in this dataset is 39 meV/atom. The calculation puts the theoretical density at 4.8 g cm⁻³.

=====

Entry 4:
BeAlSn: optimized geometry, GGA-PBE.

Lattice parameters (Å, degrees): 3.9877 4.6765 6.2912 100.28 106.86 90.04
Positions (direct):
1 Be 0.2495 0.3861 0.4977
2 Be 0.7505 0.6139 0.5023
3 Al 0.1905 0.8494 0.3741
4 Al 0.8095 0.1506 0.6259
5 Sn 0.3116 0.2671 0.0757
6 Sn 0.6884 0.7329 0.9243

Values from the calculation:
As for the formation energy: 0.205 eV per atom. The space group is P-1 (2). The final energy is -3.6185 eV per atom. Its energy above the most stable polymorph in this dataset is 63 meV/atom. The calculation puts the theoretical density at 4.7 g cm⁻³.

=====

Entry 5:
BeAlSn: optimized geometry, GGA-PBE.

Lattice parameters (Å, degrees): 3.6560 3.6577 9.6737 79.24 79.23 60.17
Positions (direct):
1 Be 0.0000 0.0000 0.0000
2 Be 0.3333 0.3336 0.9995
3 Al 0.6192 0.6194 0.1423
4 Al 0.7135 0.7130 0.8563
5 Sn 0.2127 0.2075 0.3762
6 Sn 0.4545 0.4498 0.6304

Values from the calculation:
As for the formation energy: 0.152 eV per atom. The space group is P1 (1). The final energy is -3.6721 eV per atom. Its energy above the most stable polymorph in this dataset is 10 meV/atom. The calculation puts the theoretical density at 4.7 g cm⁻³.

=====

Entry 6:
Be2Al2Sn: optimized geometry, GGA-PBE.

Lattice parameters (Å, degrees): 6.4631 6.4631 3.7043 90.00 90.00 90.00
Positions (direct):
1 Be 0.1149 0.3851 0.0000
2 Be 0.3851 0.8851 0.0000
3 Be 0.6149 0.1149 0.0000
4 Be 0.8851 0.6149 0.0000
5 Al 0.1575 0.6575 0.5000
6 Al 0.3425 0.1575 0.5000
7 Al 0.6575 0.8425 0.5000
8 Al 0.8425 0.3425 0.5000
9 Sn 0.0000 0.0000 0.0000
10 Sn 0.5000 0.5000 0.0000

Values from the calculation:
As for the formation energy: 0.310 eV per atom. The space group is P4/mbm (127). The final energy is -3.4784 eV per atom. The calculation puts the theoretical density at 4.1 g cm⁻³.

=====

Entry 7:
Be3AlSn: optimized geometry, GGA-PBE.

Lattice parameters (Å, degrees): 4.6197 4.6197 4.6197 90.00 90.00 90.00
Positions (direct):
1 Be 0.0000 0.0000 0.5000
2 Be 0.0000 0.5000 0.0000
3 Be 0.5000 0.0000 0.0000
4 Al 0.5000 0.5000 0.5000
5 Sn 0.0000 0.0000 0.0000

Values from the calculation:
As for the formation energy: 1.263 eV per atom. The space group is Pm-3m (221). The final energy is -2.5216 eV per atom. Its energy above the most stable polymorph in this dataset is 260 meV/atom. The calculation puts the theoretical density at 2.9 g cm⁻³.

=====

Entry 8:
BeAlSn: optimized geometry, GGA-PBE.

Lattice parameters (Å, degrees): 4.6050 4.0008 6.3089 90.00 103.18 90.00
Positions (direct):
1 Be 0.1180 0.2500 0.0195
2 Be 0.8820 0.7500 0.9805
3 Al 0.4175 0.7500 0.1211
4 Al 0.5825 0.2500 0.8789
5 Sn 0.2196 0.2500 0.4391
6 Sn 0.7804 0.7500 0.5609

Values from the calculation:
As for the formation energy: 0.176 eV per atom. The space group is P2_1/m (11). The final energy is -3.6474 eV per atom. Its energy above the most stable polymorph in this dataset is 34 meV/atom. The calculation puts the theoretical density at 4.5 g cm⁻³.

=====

Entry 9:
BeAlSn: optimized geometry, GGA-PBE.

Lattice parameters (Å, degrees): 3.3090 3.6544 9.2312 90.00 94.71 90.00
Positions (direct):
1 Be 0.0097 0.2500 0.0669
2 Be 0.9903 0.7500 0.9331
3 Al 0.4769 0.2500 0.8726
4 Al 0.5231 0.7500 0.1274
5 Sn 0.1054 0.7500 0.6526
6 Sn 0.8946 0.2500 0.3474

Values from the calculation:
As for the formation energy: 0.182 eV per atom. The space group is P2_1/m (11). The final energy is -3.6417 eV per atom. Its energy above the most stable polymorph in this dataset is 40 meV/atom. The calculation puts the theoretical density at 4.6 g cm⁻³.

=====

Entry 10:
BeAlSn: optimized geometry, GGA-PBE.

Lattice parameters (Å, degrees): 3.5773 3.5773 10.3507 90.00 90.00 120.00
Positions (direct):
1 Be 0.0000 0.0000 0.0000
2 Be 0.3333 0.6667 0.0006
3 Al 0.6667 0.3333 0.1310
4 Al 0.6667 0.3333 0.8669
5 Sn 0.0000 0.0000 0.6458
6 Sn 0.6667 0.3333 0.3994

Values from the calculation:
As for the formation energy: 0.164 eV per atom. The space group is P3m1 (156). The final energy is -3.6602 eV per atom. Its energy above the most stable polymorph in this dataset is 22 meV/atom. The calculation puts the theoretical density at 4.5 g cm⁻³.

=====

Entry 11:
BeAlSn: optimized geometry, GGA-PBE.

Lattice parameters (Å, degrees): 4.2663 4.2663 4.1869 119.25 119.25 90.04
Positions (direct):
1 Be 0.0000 0.0000 0.0000
2 Al 0.2520 0.7480 0.5000
3 Sn 0.7436 0.2564 0.5000

Values from the calculation:
As for the formation energy: 0.224 eV per atom. The space group is C2 (5). The final energy is -3.5995 eV per atom. Its energy above the most stable polymorph in this dataset is 82 meV/atom. The calculation puts the theoretical density at 4.7 g cm⁻³.

=====

Entry 12:
Sr2BeAl: optimized geometry, GGA-PBE.

Lattice parameters (Å, degrees): 6.4621 6.4621 5.4286 114.68 114.68 32.70
Positions (direct):
1 Sr 0.0000 0.0000 0.0000
2 Sr 0.1919 0.1919 0.6919
3 Be 0.7517 0.7517 0.2498
4 Al 0.4014 0.4014 0.4022

Values from the calculation:
As for the formation energy: 0.160 eV per atom. The space group is Cm (8). The final energy is -2.5477 eV per atom. Its energy above the most stable polymorph in this dataset is 130 meV/atom. The calculation puts the theoretical density at 3.2 g cm⁻³.